No. 1
Na2BiPS4 (PBE-GGA, relaxed); space-group type = I-4 (82); formation energy without anion corrections = -39.7 kJ/mol of atoms
1.0
1.546 7.378 0.796
-4.488 -3.834 -4.756
-4.540 -4.745 3.786
Na Bi P S
2 1 1 4
direct
0.500 0.750 0.250
0.000 0.000 0.000
0.500 0.250 0.750
0.000 0.500 0.500
0.575 0.390 0.406
0.016 0.185 0.610
0.984 0.594 0.169
0.425 0.831 0.815

No. 2
NaBiPS4 (PBE-GGA, relaxed); space-group type = Imma (74); formation energy without anion corrections = -35.6 kJ/mol of atoms
1.0
-0.674 -1.732 7.707
1.818 -7.044 2.653
6.288 -1.201 4.357
Na Bi P S
2 2 2 8
direct
0.500 0.000 0.500
0.000 0.000 0.500
0.000 0.000 0.000
0.000 0.500 0.500
0.634 0.616 0.116
0.366 0.384 0.884
0.739 0.738 0.784
0.261 0.716 0.762
0.739 0.284 0.238
0.261 0.262 0.216
0.300 0.731 0.231
0.739 0.731 0.231
0.261 0.269 0.769
0.700 0.269 0.769

No. 3
NaBiPSe2 (PBE-GGA, relaxed); space-group type = P4/mmm (123); formation energy without anion corrections = 94.5 kJ/mol of atoms
1.0
4.835 0.000 0.000
0.000 4.835 0.000
0.000 0.000 6.218
P Bi Se Na
1 1 2 1
direct
0.500 0.500 0.500
0.000 0.000 0.500
0.000 0.500 0.000
0.500 0.000 0.000
0.000 0.000 0.000

No. 4
Na2BiPSe4 (PBE-GGA, relaxed); space-group type = I-4 (82); formation energy without anion corrections = -38.7 kJ/mol of atoms
1.0
-1.930 -3.366 6.856
6.943 2.273 -2.949
-0.559 7.442 -2.523
Na Bi P Se
2 1 1 4
direct
0.500 0.750 0.250
0.000 0.000 0.000
0.500 0.250 0.750
0.000 0.500 0.500
0.563 0.388 0.401
0.013 0.175 0.612
0.987 0.599 0.162
0.437 0.838 0.825

No. 5
NaBiPSe4 (PBE-GGA, relaxed); space-group type = Imma (74); formation energy without anion corrections = -28.6 kJ/mol of atoms
1.0
8.360 0.000 0.000
4.180 6.997 0.146
4.180 2.271 6.620
Na Bi P Se
2 2 2 8
direct
0.500 0.000 0.500
0.000 0.000 0.500
0.000 0.000 0.000
0.000 0.500 0.500
0.631 0.619 0.119
0.369 0.381 0.881
0.741 0.741 0.778
0.259 0.722 0.759
0.741 0.278 0.241
0.259 0.259 0.222
0.274 0.739 0.239
0.747 0.739 0.239
0.253 0.261 0.761
0.726 0.261 0.761

No. 6
Na2SiBiP (PBE-GGA, relaxed); space-group type = P4/mmm (123); formation energy without anion corrections = 17.5 kJ/mol of atoms
1.0
5.456 0.000 0.000
0.000 4.493 0.000
0.000 0.000 5.456
P Si Bi Na
1 1 1 2
direct
0.000 0.000 0.000
0.000 0.500 0.000
0.500 0.500 0.500
0.000 0.000 0.500
0.500 0.000 0.000

No. 7
NaSrBiP2 (PBE-GGA, relaxed); space-group type = P4/mmm (123); formation enthalpy at 0 K = 118 kJ/mol of formula units
1.0
5.468 0.000 0.000
0.000 5.248 0.000
0.000 0.000 5.468
Sr Na Bi P
1 1 1 2
direct
0.500 0.500 0.500
0.000 0.500 0.000
0.000 0.000 0.000
0.000 0.000 0.500
0.500 0.000 0.000

No. 8
NaSrBiP2 (PBE-GGA, relaxed); space-group type = P4/mmm (123); formation enthalpy at 0 K = 169 kJ/mol of formula units
1.0
-3.903 1.608 -2.884
1.933 -2.723 -4.133
-2.729 -4.085 1.415
Sr Na Bi P
1 1 1 2
direct
0.500 0.500 0.500
0.000 0.000 0.000
0.000 0.500 0.000
0.000 0.000 0.500
0.500 0.000 0.000

Number 1: spin magnetization 0.0000 μB per atom. Number 2: spin magnetization 0.0000 μB per atom. Number 3: spin magnetization 0.1398 μB per atom. Number 4: spin magnetization 0.0000 μB per atom. Number 5: spin magnetization 0.0000 μB per atom. Number 6: spin magnetization 0.0000 μB per atom. Number 7: spin magnetization 0.0000 μB per atom. Number 8: spin magnetization 0.0000 μB per atom.